(1)
A geometry-optimized Nd3DyAl2 structure, computed with PBE.

## Properties
Polymorph energy (0 for the lowest one) ... 0.0 meV per atom
Calculated volume ... 342 Å³ per cell
DFT total energy ... -4.654 eV per atom
Calculated formation energy ... -0.26 eV/atom

a = 5.2264 Å, b = 6.6939 Å, c = 9.7695 Å
α = 90.00°, β = 90.00°, γ = 90.00°
Fractional coordinates of all 12 atoms:
Nd 0.0000 0.4752 0.9578
Nd 0.0000 0.9752 0.0422
Nd 0.5000 0.6911 0.1775
Nd 0.5000 0.1911 0.8225
Nd 0.0000 0.3087 0.3310
Nd 0.0000 0.8087 0.6690
Dy 0.5000 0.5226 0.5448
Dy 0.5000 0.0226 0.4552
Al 0.5000 0.7069 0.8489
Al 0.5000 0.2069 0.1511
Al 0.0000 0.2955 0.6474
Al 0.0000 0.7955 0.3526

***

(2)
A geometry-optimized NaSb2C2 structure, computed with PBE.

## Properties
Polymorph energy (0 for the lowest one) ... 61.3 meV per atom
Calculated volume ... 101 Å³ per cell
DFT total energy ... -4.526 eV per atom

a = 4.2251 Å, b = 4.2251 Å, c = 6.3826 Å
α = 70.67°, β = 70.67°, γ = 90.00°
Fractional coordinates of all 5 atoms:
Sb 0.3266 0.3266 0.3468
Sb 0.6734 0.6734 0.6532
C 0.7500 0.2500 0.5000
C 0.2500 0.7500 0.5000
Na 0.0000 0.0000 0.0000

***

(3)
A geometry-optimized InSi2Br structure, computed with PBE.

## Properties
Polymorph energy (0 for the lowest one) ... 531.5 meV per atom
Calculated volume ... 97 Å³ per cell
DFT total energy ... -3.268 eV per atom

a = 4.1120 Å, b = 4.1027 Å, c = 5.7601 Å
α = 90.00°, β = 90.00°, γ = 90.00°
Fractional coordinates of all 4 atoms:
Br 0.5000 0.5000 0.2500
In 0.5000 0.5000 0.7500
Si 0.0000 0.0000 0.9513
Si 0.0000 0.0000 0.5487

***

(4)
A geometry-optimized Ta3AsRh structure, computed with PBE.

## Properties
Polymorph energy (0 for the lowest one) ... 0.0 meV per atom
Calculated volume ... 102 Å³ per cell
DFT total energy ... -8.564 eV per atom
Calculated formation energy ... 0.95 eV/atom

a = 4.6663 Å, b = 4.6663 Å, c = 4.6663 Å
α = 90.00°, β = 90.00°, γ = 90.00°
Fractional coordinates of all 5 atoms:
As 0.0000 0.0000 0.0000
Rh 0.5000 0.5000 0.5000
Ta 0.0000 0.5000 0.0000
Ta 0.0000 0.0000 0.5000
Ta 0.5000 0.0000 0.0000

***

(5)
A geometry-optimized MgTaTl structure, computed with PBE.

## Properties
Calculated volume ... 63 Å³ per cell
DFT total energy ... -4.904 eV per atom
Calculated formation energy ... 0.37 eV/atom

a = 7.3859 Å, b = 7.3859 Å, c = 7.3859 Å
α = 156.64°, β = 156.64°, γ = 33.28°
Fractional coordinates of all 3 atoms:
Mg 0.9915 0.9915 0.0000
Ta 0.3385 0.3385 0.0000
Tl 0.6700 0.6700 0.0000

***

(6)
A geometry-optimized MgNiHg structure, computed with PBE.

## Properties
Polymorph energy (0 for the lowest one) ... 158.1 meV per atom
Calculated volume ... 54 Å³ per cell
DFT total energy ... -2.448 eV per atom
Calculated formation energy ... 0.11 eV/atom

a = 3.0809 Å, b = 3.0809 Å, c = 6.5294 Å
α = 90.00°, β = 90.00°, γ = 120.00°
Fractional coordinates of all 3 atoms:
Hg 0.0000 0.0000 0.9779
Mg 0.3333 0.6667 0.3652
Ni 0.6667 0.3333 0.6569

***

(7)
A geometry-optimized Mn2ZnRuN structure, computed with PBE.

## Properties
Calculated volume ... 59 Å³ per cell
DFT total energy ... -7.565 eV per atom

a = 3.8014 Å, b = 3.8014 Å, c = 4.0531 Å
α = 90.00°, β = 90.00°, γ = 90.00°
Fractional coordinates of all 5 atoms:
Ru 0.0000 0.0000 0.5000
Zn 0.5000 0.5000 0.5000
Mn 0.0000 0.5000 0.0000
Mn 0.5000 0.0000 0.0000
N 0.0000 0.0000 0.0000

***

(8)
A geometry-optimized LiLaBe2 structure, computed with PBE.

## Properties
Polymorph energy (0 for the lowest one) ... 190.8 meV per atom
Calculated volume ... 157 Å³ per cell
DFT total energy ... -3.187 eV per atom
Calculated formation energy ... 0.39 eV/atom

a = 4.2967 Å, b = 4.2967 Å, c = 9.0415 Å
α = 76.25°, β = 76.25°, γ = 90.00°
Fractional coordinates of all 8 atoms:
Be 0.3750 0.1250 0.2500
Be 0.3750 0.6250 0.2500
Be 0.3750 0.6250 0.7500
Be 0.8750 0.6250 0.7500
Li 0.5000 0.5000 0.0000
Li 0.2500 0.7500 0.5000
La 0.0000 0.0000 0.0000
La 0.7500 0.2500 0.5000